Computed, not measured: a crystal of SrCu2Au relaxed with PBEsol at the SCAN level of DFT.

Lattice parameters (Å, degrees): 3.3303 3.3303 6.6699 90.00 90.00 90.00
With the nearest neighbours (Å) after each atom.
Fractional coordinates of all 4 atoms:
Au  0.5000  0.5000  0.8039  5 Cu 2.49-2.77
Cu  0.0000  0.0000  0.0233  4 Cu 2.57, 4 Au 2.77
Cu  0.5000  0.5000  0.1776  1 Au 2.49, 4 Cu 2.57
Sr  0.0000  0.0000  0.4952  4 Au 3.13, 5 Cu 3.15-3.17, 4 Sr 3.33

Summary:
space group: No. 99
theoretical density: 9.24 g/cm3
final energy: -30.555 eV per atom
E above lowest polymorph: 98 kJ/mol of formula units
energy of formation: -0.097 eV per atom